No. 1
KLaI2N | meta-GGA SCAN | PBEsol geometry

Cell and atoms, written as CIF:
```
data_KLaI2N
_cell_length_a 6.474
_cell_length_b 6.474
_cell_length_c 4.184
_cell_angle_alpha 90.00
_cell_angle_beta 90.00
_cell_angle_gamma 90.00
_symmetry_space_group_name_H-M 'P 4/m m m'
_symmetry_Int_Tables_number 123
_symmetry_space_group_name_Hall '-P 4 2'
loop_
_atom_site_label
_atom_site_type_symbol
_atom_site_fract_x
_atom_site_fract_y
_atom_site_fract_z
_atom_site_occupancy
K1 K 0.000 0.000 0.000 1
La1 La 0.500 0.500 0.500 1
I1 I 0.000 0.500 0.500 1
N1 N 0.500 0.500 0.000 1
```

Calculated values
- density (kg/m3) = 4222
- total magnetic moment (μB per formula unit) = 0.1
- formation energy without anion corrections (meV/atom) = -1135

***

No. 2
KLaSb2I | meta-GGA SCAN | PBEsol geometry

Cell and atoms, written as CIF:
```
data_KLaSb2I
_cell_length_a 5.597
_cell_length_b 5.597
_cell_length_c 5.810
_cell_angle_alpha 90.00
_cell_angle_beta 90.00
_cell_angle_gamma 90.00
_symmetry_space_group_name_H-M 'P 4/m m m'
_symmetry_Int_Tables_number 123
_symmetry_space_group_name_Hall '-P 4 2'
loop_
_atom_site_label
_atom_site_type_symbol
_atom_site_fract_x
_atom_site_fract_y
_atom_site_fract_z
_atom_site_occupancy
K1 K 0.000 0.000 0.000 1
La1 La 0.500 0.500 0.500 1
Sb1 Sb 0.000 0.500 0.000 1
I1 I 0.000 0.000 0.500 1
```

Calculated values
- density (kg/m3) = 5004
- total magnetic moment (μB per formula unit) = 0.0
- excess energy over the best structure of this formula in the dataset (meV per atom) = 684.4
- formation energy without anion corrections (meV/atom) = 203

***

No. 3
KLaSb2I | meta-GGA SCAN | PBEsol geometry

Cell and atoms, written as CIF:
```
data_KLaSb2I
_cell_length_a 6.030
_cell_length_b 6.030
_cell_length_c 6.282
_cell_angle_alpha 90.00
_cell_angle_beta 90.00
_cell_angle_gamma 90.00
_symmetry_space_group_name_H-M 'P 4/m m m'
_symmetry_Int_Tables_number 123
_symmetry_space_group_name_Hall '-P 4 2'
loop_
_atom_site_label
_atom_site_type_symbol
_atom_site_fract_x
_atom_site_fract_y
_atom_site_fract_z
_atom_site_occupancy
K1 K 0.000 0.000 0.000 1
La1 La 0.500 0.500 0.500 1
Sb1 Sb 0.000 0.500 0.500 1
I1 I 0.500 0.500 0.000 1
```

Calculated values
- density (kg/m3) = 3988
- total magnetic moment (μB per formula unit) = 0.8
- excess energy over the best structure of this formula in the dataset (meV per atom) = 0.0
- formation energy without anion corrections (meV/atom) = -482

***

No. 4
KLaTe2I | meta-GGA SCAN | PBEsol geometry

Cell and atoms, written as CIF:
```
data_KLaTe2I
_cell_length_a 6.092
_cell_length_b 6.092
_cell_length_c 6.295
_cell_angle_alpha 90.00
_cell_angle_beta 90.00
_cell_angle_gamma 90.00
_symmetry_space_group_name_H-M 'P 4/m m m'
_symmetry_Int_Tables_number 123
_symmetry_space_group_name_Hall '-P 4 2'
loop_
_atom_site_label
_atom_site_type_symbol
_atom_site_fract_x
_atom_site_fract_y
_atom_site_fract_z
_atom_site_occupancy
K1 K 0.000 0.000 0.000 1
La1 La 0.500 0.500 0.500 1
Te1 Te 0.000 0.500 0.500 1
I1 I 0.500 0.500 0.000 1
```

Calculated values
- density (kg/m3) = 3981
- total magnetic moment (μB per formula unit) = 0.7
- formation energy without anion corrections (meV/atom) = -1192

***

No. 5
KLiI2 | meta-GGA SCAN | PBEsol geometry

Cell and atoms, written as CIF:
```
data_KLiI2
_cell_length_a 8.081
_cell_length_b 8.081
_cell_length_c 8.081
_cell_angle_alpha 90.00
_cell_angle_beta 90.00
_cell_angle_gamma 90.00
_symmetry_space_group_name_H-M 'F m -3 m'
_symmetry_Int_Tables_number 225
_symmetry_space_group_name_Hall '-F 4 2 3'
loop_
_atom_site_label
_atom_site_type_symbol
_atom_site_fract_x
_atom_site_fract_y
_atom_site_fract_z
_atom_site_occupancy
K1 K 0.000 0.000 0.000 1
Li1 Li 0.000 0.000 0.500 1
I1 I 0.250 0.250 0.250 1
```

Calculated values
- density (kg/m3) = 3775
- total magnetic moment (μB per formula unit) = 0.0
- excess energy over the best structure of this formula in the dataset (meV per atom) = 179.0
- formation energy without anion corrections (meV/atom) = -1267

***

No. 6
KLi2I2 | meta-GGA SCAN | PBEsol geometry

Cell and atoms, written as CIF:
```
data_KLi2I2
_cell_length_a 4.556
_cell_length_b 4.556
_cell_length_c 22.087
_cell_angle_alpha 90.00
_cell_angle_beta 90.00
_cell_angle_gamma 90.00
_symmetry_space_group_name_H-M 'I 4/m m m'
_symmetry_Int_Tables_number 139
_symmetry_space_group_name_Hall '-I 4 2'
loop_
_atom_site_label
_atom_site_type_symbol
_atom_site_fract_x
_atom_site_fract_y
_atom_site_fract_z
_atom_site_occupancy
K1 K 0.000 0.000 0.000 1
Li1 Li 0.000 0.500 0.250 1
I1 I 0.000 0.000 0.319 1
```

Calculated values
- density (kg/m3) = 2223
- total magnetic moment (μB per formula unit) = 0.0
- formation energy without anion corrections (meV/atom) = -962

***

No. 7
KLiI2 | meta-GGA SCAN | PBEsol geometry

Cell and atoms, written as CIF:
```
data_KLiI2
_cell_length_a 8.089
_cell_length_b 8.089
_cell_length_c 8.980
_cell_angle_alpha 90.00
_cell_angle_beta 90.00
_cell_angle_gamma 90.00
_symmetry_space_group_name_H-M 'I -4 2 d'
_symmetry_Int_Tables_number 122
_symmetry_space_group_name_Hall 'I -4 2bw'
loop_
_atom_site_label
_atom_site_type_symbol
_atom_site_fract_x
_atom_site_fract_y
_atom_site_fract_z
_atom_site_occupancy
K1 K 0.000 0.000 0.000 1
Li1 Li 0.000 0.000 0.500 1
I1 I 0.184 0.750 0.625 1
```

Calculated values
- density (kg/m3) = 3390
- total magnetic moment (μB per formula unit) = 0.0
- excess energy over the best structure of this formula in the dataset (meV per atom) = 0.0
- formation energy without anion corrections (meV/atom) = -1446

***

No. 8
K2LiNdI6 | meta-GGA SCAN | PBEsol geometry

Cell and atoms, written as CIF:
```
data_K2LiNdI6
_cell_length_a 11.854
_cell_length_b 11.854
_cell_length_c 11.854
_cell_angle_alpha 90.00
_cell_angle_beta 90.00
_cell_angle_gamma 90.00
_symmetry_space_group_name_H-M 'F m -3 m'
_symmetry_Int_Tables_number 225
_symmetry_space_group_name_Hall '-F 4 2 3'
loop_
_atom_site_label
_atom_site_type_symbol
_atom_site_fract_x
_atom_site_fract_y
_atom_site_fract_z
_atom_site_occupancy
K1 K 0.250 0.250 0.250 1
Li1 Li 0.000 0.000 0.000 1
Nd1 Nd 0.000 0.000 0.500 1
I1 I 0.000 0.000 0.243 1
```

Calculated values
- density (kg/m3) = 3951
- total magnetic moment (μB per formula unit) = 0.0
- formation energy without anion corrections (meV/atom) = -1485

***

No. 9
K4LiIO6 | meta-GGA SCAN | PBEsol geometry

Cell and atoms, written as CIF:
```
data_K4LiIO6
_cell_length_a 9.990
_cell_length_b 11.202
_cell_length_c 13.205
_cell_angle_alpha 90.00
_cell_angle_beta 90.00
_cell_angle_gamma 90.00
_symmetry_space_group_name_H-M 'P b c a'
_symmetry_Int_Tables_number 61
_symmetry_space_group_name_Hall '-P 2ac 2ab'
loop_
_atom_site_label
_atom_site_type_symbol
_atom_site_fract_x
_atom_site_fract_y
_atom_site_fract_z
_atom_site_occupancy
K1 K 0.063 0.057 0.109 1
K2 K 0.118 0.091 0.690 1
K3 K 0.166 0.523 0.936 1
K4 K 0.208 0.689 0.310 1
Li1 Li 0.198 0.248 0.510 1
I1 I 0.046 0.746 0.602 1
O1 O 0.029 0.166 0.509 1
O2 O 0.033 0.149 0.303 1
O3 O 0.111 0.645 0.707 1
O4 O 0.114 0.150 0.905 1
O5 O 0.141 0.648 0.506 1
O6 O 0.203 0.657 0.105 1
```

Calculated values
- density (kg/m3) = 3472
- total magnetic moment (μB per formula unit) = 0.1
- formation energy without anion corrections (meV/atom) = -1489

***

No. 10
KLiIO2 | meta-GGA SCAN | PBEsol geometry

Cell and atoms, written as CIF:
```
data_KLiIO2
_cell_length_a 4.443
_cell_length_b 4.443
_cell_length_c 5.218
_cell_angle_alpha 90.00
_cell_angle_beta 90.00
_cell_angle_gamma 90.00
_symmetry_space_group_name_H-M 'P 4/m m m'
_symmetry_Int_Tables_number 123
_symmetry_space_group_name_Hall '-P 4 2'
loop_
_atom_site_label
_atom_site_type_symbol
_atom_site_fract_x
_atom_site_fract_y
_atom_site_fract_z
_atom_site_occupancy
K1 K 0.000 0.000 0.000 1
Li1 Li 0.500 0.500 0.500 1
I1 I 0.500 0.500 0.000 1
O1 O 0.000 0.500 0.500 1
```

Calculated values
- density (kg/m3) = 3304
- total magnetic moment (μB per formula unit) = 3.0
- formation energy without anion corrections (meV/atom) = -469

***

No. 11
K2LiSbI6 | meta-GGA SCAN | PBEsol geometry

Cell and atoms, written as CIF:
```
data_K2LiSbI6
_cell_length_a 11.697
_cell_length_b 11.697
_cell_length_c 11.697
_cell_angle_alpha 90.00
_cell_angle_beta 90.00
_cell_angle_gamma 90.00
_symmetry_space_group_name_H-M 'F m -3 m'
_symmetry_Int_Tables_number 225
_symmetry_space_group_name_Hall '-F 4 2 3'
loop_
_atom_site_label
_atom_site_type_symbol
_atom_site_fract_x
_atom_site_fract_y
_atom_site_fract_z
_atom_site_occupancy
K1 K 0.250 0.250 0.250 1
Li1 Li 0.000 0.000 0.000 1
Sb1 Sb 0.000 0.000 0.500 1
I1 I 0.000 0.000 0.246 1
```

Calculated values
- density (kg/m3) = 4019
- total magnetic moment (μB per formula unit) = 0.0
- formation energy without anion corrections (meV/atom) = -976

***

No. 12
KLiSb2I | meta-GGA SCAN | PBEsol geometry

Cell and atoms, written as CIF:
```
data_KLiSb2I
_cell_length_a 4.962
_cell_length_b 4.962
_cell_length_c 6.360
_cell_angle_alpha 90.00
_cell_angle_beta 90.00
_cell_angle_gamma 90.00
_symmetry_space_group_name_H-M 'P 4/m m m'
_symmetry_Int_Tables_number 123
_symmetry_space_group_name_Hall '-P 4 2'
loop_
_atom_site_label
_atom_site_type_symbol
_atom_site_fract_x
_atom_site_fract_y
_atom_site_fract_z
_atom_site_occupancy
K1 K 0.000 0.000 0.000 1
Li1 Li 0.500 0.500 0.500 1
Sb1 Sb 0.000 0.500 0.500 1
I1 I 0.500 0.500 0.000 1
```

Calculated values
- density (kg/m3) = 4416
- total magnetic moment (μB per formula unit) = 0.0
- formation energy without anion corrections (meV/atom) = -211

***

Q: Which of these has the highest total magnetic moment?
A: KLiIO2